The following is a PBE calculation of a geometry-optimized TeIrW2 structure, from Alexandria via LeMat-Bulk.

Unit cell a=3.089 b=4.678 c=9.362 alpha=90.00 beta=90.00 gamma=90.00
Space group Imm2 (No. 44)
One atom of each set of equivalent atoms:
Te1 0.000 0.000 0.000
Ir1 0.000 0.500 0.265
W1 0.000 0.000 0.510
W2 0.000 0.500 0.736

Results
Magnetic moment = 0.00 μB/cell
Raw total energy = -8.92 eV per atom
Crystal system = orthorhombic
Uncorrected formation energy = 0.56 eV per atom

=====

The following is a PBE calculation of a geometry-optimized TeIr2W structure, from Alexandria via LeMat-Bulk.

Unit cell a=6.005 b=6.005 c=10.796 alpha=90.00 beta=90.00 gamma=90.00
Space group I-42d (No. 122)
One atom of each set of equivalent atoms:
Te1 0.000 0.000 0.000
Ir1 0.229 0.250 0.625
W1 0.000 0.000 0.500

Results
Magnetic moment = 0.00 μB/cell
Raw total energy = -7.85 eV per atom
Crystal system = tetragonal
Uncorrected formation energy = 0.60 eV per atom

=====

The following is a PBE calculation of a geometry-optimized TeIr2W structure, from Alexandria via LeMat-Bulk.

Unit cell a=5.608 b=8.097 c=2.936 alpha=90.00 beta=90.00 gamma=90.00
Space group Cmmm (No. 65)
One atom of each set of equivalent atoms:
Te1 0.000 0.000 0.000
Ir1 0.250 0.250 0.500
W1 0.000 0.500 0.000

Results
Magnetic moment = 0.00 μB/cell
Raw total energy = -8.03 eV per atom
Crystal system = orthorhombic
Uncorrected formation energy = 0.43 eV per atom

=====

The following is a PBE calculation of a geometry-optimized TeIr2W structure, from Alexandria via LeMat-Bulk.

Unit cell a=9.345 b=2.994 c=4.841 alpha=90.00 beta=96.65 gamma=90.00
Space group C2/m (No. 12)
One atom of each set of equivalent atoms:
Te1 0.000 0.000 0.000
Ir1 0.238 0.000 0.728
W1 0.000 0.500 0.500

Results
Magnetic moment = 0.00 μB/cell
Raw total energy = -8.03 eV per atom
Crystal system = monoclinic
Uncorrected formation energy = 0.42 eV per atom

=====

The following is a PBE calculation of a geometry-optimized TeIrW2 structure, from Alexandria via LeMat-Bulk.

Unit cell a=3.979 b=3.979 c=8.588 alpha=90.00 beta=90.00 gamma=90.00
Space group I4/mmm (No. 139)
One atom of each set of equivalent atoms:
Te1 0.000 0.000 0.000
Ir1 0.000 0.000 0.500
W1 0.000 0.500 0.250

Results
Magnetic moment = 0.00 μB/cell
Raw total energy = -8.79 eV per atom
Crystal system = tetragonal
Uncorrected formation energy = 0.69 eV per atom

=====

The following is a PBE calculation of a geometry-optimized TeIr4W structure, from Alexandria via LeMat-Bulk.

Unit cell a=7.402 b=7.402 c=7.402 alpha=90.00 beta=90.00 gamma=90.00
Space group F-43m (No. 216)
One atom of each set of equivalent atoms:
Te1 0.000 0.000 0.000
Ir1 0.124 0.124 0.624
W1 0.250 0.250 0.250

Results
Magnetic moment = 0.00 μB/cell
Raw total energy = -7.94 eV per atom
Crystal system = cubic
Uncorrected formation energy = 0.65 eV per atom

=====

The following is a PBE calculation of a geometry-optimized TeIrW2 structure, from Alexandria via LeMat-Bulk.

Unit cell a=4.253 b=2.922 c=10.967 alpha=90.00 beta=90.00 gamma=90.00
Space group Amm2 (No. 38)
One atom of each set of equivalent atoms:
Te1 0.000 0.000 0.000
Ir1 0.500 0.000 0.858
W1 0.000 0.000 0.246
W2 0.500 0.000 0.616

Results
Magnetic moment = 0.00 μB/cell
Raw total energy = -8.93 eV per atom
Crystal system = orthorhombic
Uncorrected formation energy = 0.55 eV per atom

=====

The following is a PBE calculation of a geometry-optimized TeIr2W structure, from Alexandria via LeMat-Bulk.

Unit cell a=2.961 b=3.925 c=5.829 alpha=90.00 beta=90.27 gamma=90.00
Space group P2/m (No. 10)
One atom of each set of equivalent atoms:
Te1 0.000 0.000 0.000
Ir1 0.498 0.500 0.274
W1 0.000 0.000 0.500

Results
Magnetic moment = 0.00 μB/cell
Raw total energy = -8.16 eV per atom
Crystal system = monoclinic
Uncorrected formation energy = 0.30 eV per atom

=====

Number 1: calculated volume 135.28 Å³ per cell. Number 2: calculated volume 389.28 Å³ per cell. Number 3: calculated volume 133.34 Å³ per cell. Number 4: calculated volume 134.53 Å³ per cell. Number 5: calculated volume 135.99 Å³ per cell. Number 6: calculated volume 405.63 Å³ per cell. Number 7: calculated volume 136.28 Å³ per cell. Number 8: calculated volume 67.75 Å³ per cell.